A geometry-optimized DyGa2Ni9 structure. Source: Alexandria, functional GGA-PBE.

Cell lengths 8.027, 8.027, 4.767 Å; angles 90.00, 90.00, 90.00 degrees
Space group P4/mbm (No. 127)
Inequivalent atoms, fractional coordinates:
1 Dy 0.000 0.000 0.000
2 Ga 0.122 0.378 0.000
3 Ni 0.000 0.500 0.500
4 Ni 0.065 0.208 0.500
5 Ni 0.177 0.677 0.241

- DFT formation energy: -288 meV/atom
- Total energy: -5.51 eV per atom
- Fermi-level density of states: 1.552 states/eV per atom